4
Lattice="1.404 0.811 9.227 -1.404 0.811 9.227 0.000 -1.621 9.227" Properties=species:S:1:pos:R:3 comment="HgIrRu2 PBE optimized geometry" magnetic_moment_mub_per_cell=0.03 delta_e_f_ev_per_atom=0.3484 energy_ev_per_atom=-6.58 pbc="T T T"
Hg 0.000 0.000 0.000
Ir 0.000 0.000 20.976
Ru 0.000 0.000 6.727
Ru 0.000 0.000 13.888